# 1
Compound: TmCo4W
Source: Alexandria
Functional: GGA-PBE
Structure: optimized geometry

Unit cell a=6.830 b=6.830 c=6.830 alpha=90.00 beta=90.00 gamma=90.00
Space group F-43m (No. 216)
Symmetry-distinct sites (fractional):
Tm 0.000 0.000 0.000 [4 per cell]
Co 0.125 0.125 0.625 [16 per cell]
W 0.250 0.250 0.250 [4 per cell]

# 2
Compound: YTm6Co3
Source: Alexandria
Functional: GGA-PBE
Structure: optimized geometry

Unit cell a=11.337 b=12.011 c=7.126 alpha=90.00 beta=90.00 gamma=90.00
Space group Cmc2_1 (No. 36)
Symmetry-distinct sites (fractional):
Y 0.000 0.190 0.000 [4 per cell]
Tm 0.000 0.169 0.498 [4 per cell]
Tm 0.000 0.495 0.747 [4 per cell]
Tm 0.214 0.000 0.498 [8 per cell]
Tm 0.249 0.250 0.746 [8 per cell]
Co 0.000 0.001 0.749 [4 per cell]
Co 0.111 0.360 0.492 [8 per cell]

# 3
Compound: YTm3Co
Source: Alexandria
Functional: GGA-PBE
Structure: optimized geometry

## Properties
Excess energy over the best structure of this formula in the dataset: 62 meV per atom

Unit cell a=7.671 b=7.204 c=9.890 alpha=90.00 beta=106.77 gamma=90.00
Space group P2_1/c (No. 14)
Symmetry-distinct sites (fractional):
Y 0.188 0.055 0.255 [4 per cell]
Tm 0.086 0.702 0.034 [4 per cell]
Tm 0.293 0.510 0.384 [4 per cell]
Tm 0.415 0.128 0.605 [4 per cell]
Co 0.454 0.746 0.610 [4 per cell]

# 4
Compound: Y3Tm3Co4
Source: Alexandria
Functional: GGA-PBE
Structure: optimized geometry

Unit cell a=4.148 b=10.111 c=10.138 alpha=90.00 beta=90.00 gamma=90.00
Space group Amm2 (No. 38)
Symmetry-distinct sites (fractional):
Y 0.000 0.000 0.000 [2 per cell]
Y 0.500 0.250 0.080 [4 per cell]
Tm 0.000 0.000 0.656 [2 per cell]
Tm 0.000 0.171 0.329 [4 per cell]
Co 0.500 0.000 0.223 [2 per cell]
Co 0.500 0.000 0.444 [2 per cell]
Co 0.500 0.111 0.825 [4 per cell]

# 5
Compound: YTmCo2
Source: Alexandria
Functional: GGA-PBE
Structure: optimized geometry

## Properties
Excess energy over the best structure of this formula in the dataset: 59 meV per atom

Unit cell a=6.640 b=6.640 c=6.640 alpha=90.00 beta=90.00 gamma=90.00
Space group Fm-3m (No. 225)
Symmetry-distinct sites (fractional):
Y 0.000 0.000 0.000 [4 per cell]
Tm 0.000 0.000 0.500 [4 per cell]
Co 0.250 0.250 0.250 [8 per cell]

# 6
Compound: Y6TmCo3
Source: Alexandria
Functional: GGA-PBE
Structure: optimized geometry

Unit cell a=11.488 b=12.344 c=7.209 alpha=90.00 beta=90.00 gamma=90.00
Space group Cmc2_1 (No. 36)
Symmetry-distinct sites (fractional):
Y 0.000 0.032 0.000 [4 per cell]
Y 0.000 0.332 0.263 [4 per cell]
Y 0.216 0.500 0.258 [8 per cell]
Y 0.249 0.250 0.021 [8 per cell]
Tm 0.000 0.323 0.763 [4 per cell]
Co 0.000 0.498 0.012 [4 per cell]
Co 0.107 0.138 0.284 [8 per cell]

no.,D(E_F) (states/eV per cell),calculated formation energy (eV per atom)
1,33.661,0.03
2,37.788,-0.09
3,26.672,-0.04
4,12.598,-0.17
5,4.377,-0.17
6,35.697,-0.04